VASP calculation (PBE with a Hubbard U) on a relaxed structure of BaCoO3.

a = 5.8097 Å, b = 5.8097 Å, c = 19.6014 Å
α = 90.00°, β = 90.00°, γ = 120.00°
Space group R-3c (No. 167, hexagonal axes)
Symmetry-distinct sites (fractional):
Ba 0.0000 0.0000 0.0000 [6 per cell]
Co 0.0000 0.0000 0.2500 [6 per cell]
O 0.0000 0.2901 0.2500 [18 per cell]

Summary:
Size of the total moment ... 3.00 μB/f.u.
Calculated total energy ... -5.85 eV per atom